A plane-wave DFT calculation with PBE+U was carried out for a geometry-optimized SmTlV2O6 structure.

Unit cell a=7.5581 b=7.5581 c=6.0392 alpha=99.85 beta=99.85 gamma=86.77
Last column: nearest neighbours and their distance in Å.
Sites, in units of the cell vectors:
Sm (0.6052, 0.3948, 0.2500)  6 O 2.30-2.39
Sm (0.3948, 0.6052, 0.7500)  6 O 2.30-2.39
Tl (0.1667, 0.8333, 0.2500)  6 O 2.83-3.08
Tl (0.8333, 0.1667, 0.7500)  6 O 2.83-3.08
V (0.3035, 0.1288, 0.7986)  4 O 1.76-1.88
V (0.8712, 0.6965, 0.7014)  4 O 1.76-1.88
V (0.6965, 0.8712, 0.2014)  4 O 1.76-1.88
V (0.1288, 0.3035, 0.2986)  4 O 1.76-1.88
O (0.9078, 0.3871, 0.2324)  1 V 1.76
O (0.6129, 0.0922, 0.2676)  1 V 1.76
O (0.0922, 0.6129, 0.7676)  1 V 1.76
O (0.3871, 0.9078, 0.7324)  1 V 1.76
O (0.1694, 0.1454, 0.0353)  2 V 1.87-1.88
O (0.8546, 0.8306, 0.4647)  2 V 1.87-1.88
O (0.8306, 0.8546, 0.9647)  2 V 1.87-1.88
O (0.1454, 0.1694, 0.5353)  2 V 1.87-1.88
O (0.3224, 0.4475, 0.3786)  1 V 1.82
O (0.5525, 0.6776, 0.1214)  1 V 1.82
O (0.6776, 0.5525, 0.6214)  1 V 1.82
O (0.4475, 0.3224, 0.8786)  1 V 1.82

As for the energy: -7.333 eV per atom.